# 1
## K2SrSe (PBE)

Data for a relaxed K2SrSe crystal.

The structure belongs to space group C2/m (No. 12); the cell edges are 21.930, 4.179 and 4.502 Å and the angles 90.00°, 101.78° and 90.00°. The distinct sites, in fractional coordinates, are K at (0.166, 0.000, 0.164), Sr at (0.000, 0.000, 0.500) and Se at (0.000, 0.500, 0.000).

# 2
## K2SrSe (PBE)

Data for a relaxed K2SrSe crystal.

The structure belongs to space group Fmmm (No. 69); the cell edges are 6.732, 6.886 and 14.572 Å and the angles 90.00°, 90.00° and 90.00°. The distinct sites, in fractional coordinates, are K at (0.000, 0.250, 0.250), Sr at (0.000, 0.000, 0.000) and Se at (0.000, 0.000, 0.500).

# 3
## K2SrSe (PBE)

Data for a relaxed K2SrSe crystal.

The structure belongs to space group I-4m2 (No. 119); the cell edges are 5.275, 5.275 and 11.193 Å and the angles 90.00°, 90.00° and 90.00°. The distinct sites, in fractional coordinates, are K at (0.000, 0.000, 0.000), K at (0.000, 0.500, 0.250), Sr at (0.000, 0.000, 0.500) and Se at (0.000, 0.500, 0.750).

# 4
## KSr2Se (PBE)

Data for a relaxed KSr2Se crystal.

The structure belongs to space group I4mm (No. 107); the cell edges are 4.396, 4.396 and 19.751 Å and the angles 90.00°, 90.00° and 90.00°. The distinct sites, in fractional coordinates, are K at (0.000, 0.000, 0.000), Sr at (0.000, 0.000, 0.335), Sr at (0.000, 0.000, 0.680) and Se at (0.000, 0.000, 0.176).

# 5
## KSr2Se (PBE)

Data for a relaxed KSr2Se crystal.

The structure belongs to space group Cmmm (No. 65); the cell edges are 4.749, 6.672 and 11.497 Å and the angles 90.00°, 90.00° and 90.00°. The distinct sites, in fractional coordinates, are K at (0.000, 0.000, 0.000), Sr at (0.000, 0.500, 0.329) and Se at (0.000, 0.000, 0.500).

# 6
## KSr2Se (PBE)

Data for a relaxed KSr2Se crystal.

The structure belongs to space group I-42d (No. 122); the cell edges are 10.584, 10.584 and 7.075 Å and the angles 90.00°, 90.00° and 90.00°. The distinct sites, in fractional coordinates, are K at (0.000, 0.000, 0.000), Sr at (0.125, 0.750, 0.625) and Se at (0.000, 0.000, 0.500).

# 7
## KSr2Se (PBE)

Data for a relaxed KSr2Se crystal.

The structure belongs to space group P1 (No. 1); the cell edges are 4.329, 8.899 and 10.477 Å and the angles 99.85°, 101.14° and 103.18°. The distinct sites, in fractional coordinates, are K at (0.000, 0.000, 0.000), K at (0.119, 0.813, 0.290), Sr at (0.188, 0.671, 0.666), Sr at (0.380, 0.359, 0.321), Sr at (0.703, 0.437, 0.941), Sr at (0.900, 0.128, 0.598), Se at (0.545, 0.399, 0.634) and Se at (0.749, 0.108, 0.294).

# 8
## K2SrSe (PBE)

Data for a relaxed K2SrSe crystal.

The structure belongs to space group R-3m (No. 166, hexagonal axes); the cell edges are 4.9416, 4.9416 and 29.9144 Å and the angles 90.00°, 90.00° and 120.00°. The distinct sites, in fractional coordinates, are K at (0.0000, 0.0000, 0.2126), Sr at (0.0000, 0.0000, 0.0000) and Se at (0.0000, 0.0000, 0.5000).

Total DFT energy (no corrections) / eV/atom: -2.653; -2.306; -2.207; -2.860; -2.781; -2.697; -2.820; -2.368
Total magnetization / μB/cell: 0.2; 0.8; 2.4; 0.0; 0.0; 0.0; 0.6; 0.0
Energy relative to the elements, uncorrected / eV/f.u.: -3.251; -1.862; -1.465; -3.493; -3.179; -2.841; -3.336; -2.109